(1)
Compound: HfNbSn
Source: the Alexandria database
Functional: PBE
Structure: relaxed

M_tot: 0.0 μB per cell
Energy of formation from the pure elements: -0.234 eV/atom
SG: I4mm

abc: 3.6330 3.6330 9.3348
angles: 90.00 90.00 90.00
With the nearest neighbours (Å) after each atom.
Positions (direct):
1 Hf 0.0000 0.0000 0.0000  5 Nb 2.99-3.15, 5 Sn 3.04
2 Hf 0.5000 0.5000 0.5000  5 Nb 2.99-3.15, 5 Sn 3.04
3 Nb 0.0000 0.0000 0.3369  5 Sn 2.98-3.15, 5 Hf 2.99-3.15
4 Nb 0.5000 0.5000 0.8369  5 Sn 2.98-3.15, 5 Hf 2.99-3.15
5 Sn 0.0000 0.0000 0.6747  5 Nb 2.98-3.15, 5 Hf 3.04
6 Sn 0.5000 0.5000 0.1747  5 Nb 2.98-3.15, 5 Hf 3.04

(2)
Compound: HfNbSn3
Source: the Alexandria database
Functional: PBE
Structure: relaxed

M_tot: 0.0 μB per cell
Energy of formation from the pure elements: 0.807 eV/atom
SG: Pm-3m

abc: 5.2864 5.2864 5.2864
angles: 90.00 90.00 90.00
With the nearest neighbours (Å) after each atom.
Positions (direct):
1 Hf 0.0000 0.0000 0.0000  12 Sn 3.74
2 Nb 0.5000 0.5000 0.5000  6 Sn 2.64
3 Sn 0.0000 0.5000 0.5000  2 Nb 2.64
4 Sn 0.5000 0.0000 0.5000  2 Nb 2.64
5 Sn 0.5000 0.5000 0.0000  2 Nb 2.64